Density functional theory data (PBE) for crystalline YSc2CSe at its relaxed geometry.

Geometry as CIF:
```
data_YSc2CSe
_chemical_formula_sum 'Y1 Sc2 C1 Se1'
_cell_length_a 5.493
_cell_length_b 5.493
_cell_length_c 4.104
_cell_angle_alpha 90.00
_cell_angle_beta 90.00
_cell_angle_gamma 90.00
_space_group_name_H-M_alt 'P 4/m m m'
_space_group_IT_number 123
_space_group_name_Hall '-P 4 2'
loop_
_atom_site_label
_atom_site_type_symbol
_atom_site_fract_x
_atom_site_fract_y
_atom_site_fract_z
Y1 Y 0.000 0.000 0.000
Sc1 Sc 0.000 0.500 0.000
C1 C 0.000 0.000 0.500
Se1 Se 0.500 0.500 0.500
```

Properties
crystal system = tetragonal


Density functional theory data (PBE) for crystalline ZrScCSe at its relaxed geometry.

Geometry as CIF:
```
data_ZrScCSe
_chemical_formula_sum 'Zr3 Sc3 C3 Se3'
_cell_length_a 3.4837
_cell_length_b 3.4837
_cell_length_c 19.0071
_cell_angle_alpha 90.00
_cell_angle_beta 90.00
_cell_angle_gamma 120.00
_space_group_name_H-M_alt 'R 3 m'
_space_group_IT_number 160
_space_group_name_Hall 'R 3 -2"'
loop_
_atom_site_label
_atom_site_type_symbol
_atom_site_fract_x
_atom_site_fract_y
_atom_site_fract_z
Zr1 Zr 0.0000 0.0000 0.0000
Sc1 Sc 0.0000 0.0000 0.7956
C1 C 0.0000 0.0000 0.3933
Se1 Se 0.0000 0.0000 0.5636
```

Properties
crystal system = trigonal


Density functional theory data (PBE) for crystalline Sc3SiC at its relaxed geometry.

Geometry as CIF:
```
data_Sc3SiC
_chemical_formula_sum 'Sc3 Si1 C1'
_cell_length_a 4.219
_cell_length_b 4.219
_cell_length_c 6.546
_cell_angle_alpha 90.00
_cell_angle_beta 90.00
_cell_angle_gamma 90.00
_space_group_name_H-M_alt 'P 4 m m'
_space_group_IT_number 99
_space_group_name_Hall 'P 4 -2'
loop_
_atom_site_label
_atom_site_type_symbol
_atom_site_fract_x
_atom_site_fract_y
_atom_site_fract_z
Sc1 Sc 0.000 0.000 0.000
Sc2 Sc 0.000 0.500 0.633
Si1 Si 0.000 0.000 0.382
C1 C 0.500 0.500 0.787
```

Properties
crystal system = tetragonal


Calculated ΔE_f (raw) (meV per atom), listed in the same order as above: 1070.9 -1133.4 338.1
Calculated magnetic moment (μB per formula unit), listed in the same order as above: 0.00 0.00 0.00